No. 1
A relaxed structure of Sc3TlIr, computed with PBE.

Cell and atoms, written as CIF:
```
data_Sc3TlIr
_cell_length_a 6.795
_cell_length_b 6.795
_cell_length_c 6.795
_cell_angle_alpha 90.00
_cell_angle_beta 90.00
_cell_angle_gamma 90.00
_space_group_name_H-M_alt 'P 1'
_space_group_IT_number 1
loop_
_space_group_symop_operation_xyz
'x,y,z'
loop_
_atom_site_label
_atom_site_type_symbol
_atom_site_fract_x
_atom_site_fract_y
_atom_site_fract_z
_atom_site_occupancy
Sc1 Sc 0.773 0.227 0.773 1
Sc2 Sc 0.227 0.773 0.227 1
Sc3 Sc 0.773 0.773 0.227 1
Sc4 Sc 0.227 0.773 0.773 1
Sc5 Sc 0.227 0.227 0.773 1
Sc6 Sc 0.773 0.227 0.227 1
Sc7 Sc 0.500 0.500 0.500 1
Sc8 Sc 0.227 0.227 0.227 1
Sc9 Sc 0.773 0.773 0.773 1
Tl1 Tl 0.500 0.000 0.500 1
Tl2 Tl 0.500 0.500 0.000 1
Tl3 Tl 0.000 0.500 0.500 1
Ir1 Ir 0.000 0.000 0.500 1
Ir2 Ir 0.000 0.500 0.000 1
Ir3 Ir 0.500 0.000 0.000 1
```

E_form = -0.455 eV/atom
density = 8.44 g cm⁻³
total moment = 0.0782 μB per atom
volume = 20.916 Å³/atom
excess energy over the best structure of this formula in the dataset = 0 meV per atom

=====

No. 2
A relaxed structure of ZrNb3H, computed with PBE.

Cell and atoms, written as CIF:
```
data_ZrNb3H
_cell_length_a 4.326
_cell_length_b 4.326
_cell_length_c 4.326
_cell_angle_alpha 90.00
_cell_angle_beta 90.00
_cell_angle_gamma 90.00
_space_group_name_H-M_alt 'P 1'
_space_group_IT_number 1
loop_
_space_group_symop_operation_xyz
'x,y,z'
loop_
_atom_site_label
_atom_site_type_symbol
_atom_site_fract_x
_atom_site_fract_y
_atom_site_fract_z
_atom_site_occupancy
Nb1 Nb 0.000 0.000 0.500 1
Nb2 Nb 0.500 0.000 0.000 1
Nb3 Nb 0.000 0.500 0.000 1
H1 H 0.000 0.000 0.000 1
Zr1 Zr 0.500 0.500 0.500 1
```

density = 7.61 g cm⁻³
total moment = 0.0000 μB per atom
volume = 16.187 Å³/atom
excess energy over the best structure of this formula in the dataset = 0 meV per atom

=====

No. 3
A relaxed structure of Li4Cd3Hg, computed with PBE.

Cell and atoms, written as CIF:
```
data_Li4Cd3Hg
_cell_length_a 4.692
_cell_length_b 4.692
_cell_length_c 7.450
_cell_angle_alpha 108.89
_cell_angle_beta 108.90
_cell_angle_gamma 88.12
_space_group_name_H-M_alt 'P 1'
_space_group_IT_number 1
loop_
_space_group_symop_operation_xyz
'x,y,z'
loop_
_atom_site_label
_atom_site_type_symbol
_atom_site_fract_x
_atom_site_fract_y
_atom_site_fract_z
_atom_site_occupancy
Li1 Li 0.123 0.123 0.246 1
Li2 Li 0.623 0.623 0.246 1
Li3 Li 0.377 0.377 0.754 1
Li4 Li 0.877 0.877 0.754 1
Cd1 Cd 0.000 0.500 0.000 1
Cd2 Cd 0.753 0.253 0.504 1
Cd3 Cd 0.247 0.747 0.496 1
Hg1 Hg 0.500 0.000 0.000 1
```

E_form = -0.282 eV/atom
density = 6.42 g cm⁻³
total moment = 0.0000 μB per atom
volume = 18.291 Å³/atom
excess energy over the best structure of this formula in the dataset = 0 meV per atom

=====

No. 4
A relaxed structure of SrHfCdAs2, computed with PBE.

Cell and atoms, written as CIF:
```
data_SrHfCdAs2
_cell_length_a 5.307
_cell_length_b 5.327
_cell_length_c 5.307
_cell_angle_alpha 90.00
_cell_angle_beta 90.00
_cell_angle_gamma 90.00
_space_group_name_H-M_alt 'P 1'
_space_group_IT_number 1
loop_
_space_group_symop_operation_xyz
'x,y,z'
loop_
_atom_site_label
_atom_site_type_symbol
_atom_site_fract_x
_atom_site_fract_y
_atom_site_fract_z
_atom_site_occupancy
Sr1 Sr 0.500 0.500 0.500 1
As1 As 0.000 0.000 0.500 1
As2 As 0.500 0.000 0.000 1
Hf1 Hf 0.000 0.500 0.000 1
Cd1 Cd 0.000 0.000 0.000 1
```

E_form = 0.596 eV/atom
density = 5.85 g cm⁻³
total moment = 0.1881 μB per atom
volume = 30.008 Å³/atom

=====

No. 5
A relaxed structure of ThVGe2, computed with PBE.

Cell and atoms, written as CIF:
```
data_ThVGe2
_cell_length_a 4.069
_cell_length_b 4.073
_cell_length_c 6.163
_cell_angle_alpha 109.26
_cell_angle_beta 109.23
_cell_angle_gamma 90.02
_space_group_name_H-M_alt 'P 1'
_space_group_IT_number 1
loop_
_space_group_symop_operation_xyz
'x,y,z'
loop_
_atom_site_label
_atom_site_type_symbol
_atom_site_fract_x
_atom_site_fract_y
_atom_site_fract_z
_atom_site_occupancy
V1 V 0.471 0.631 0.728 1
Ge1 Ge 0.845 0.504 0.475 1
Ge2 Ge 0.598 0.258 0.981 1
Th1 Th 0.221 0.881 0.228 1
```

E_form = -0.146 eV/atom
density = 7.87 g cm⁻³
total moment = 0.2101 μB per atom
volume = 22.592 Å³/atom
excess energy over the best structure of this formula in the dataset = 106 meV per atom

=====

No. 6
A relaxed structure of Rb2SmTlO4, computed with PBE.

Cell and atoms, written as CIF:
```
data_Rb2SmTlO4
_cell_length_a 3.570
_cell_length_b 6.186
_cell_length_c 6.937
_cell_angle_alpha 108.25
_cell_angle_beta 90.00
_cell_angle_gamma 90.00
_space_group_name_H-M_alt 'P 1'
_space_group_IT_number 1
loop_
_space_group_symop_operation_xyz
'x,y,z'
loop_
_atom_site_label
_atom_site_type_symbol
_atom_site_fract_x
_atom_site_fract_y
_atom_site_fract_z
_atom_site_occupancy
Sm1 Sm 0.500 0.500 0.000 1
Rb1 Rb 0.500 0.000 0.500 1
Rb2 Rb 0.000 0.500 0.500 1
O1 O 0.000 0.281 0.812 1
O2 O 0.000 0.719 0.188 1
O3 O 0.500 0.225 0.184 1
O4 O 0.500 0.775 0.816 1
Tl1 Tl 0.000 0.000 0.000 1
```

formation energy without anion corrections = -1.764 eV per atom
density = 6.73 g cm⁻³
total moment = 0.0001 μB per atom
volume = 18.182 Å³/atom

=====

No. 7
A relaxed structure of Dy2CuSi, computed with PBE.

Cell and atoms, written as CIF:
```
data_Dy2CuSi
_cell_length_a 4.095
_cell_length_b 5.834
_cell_length_c 7.860
_cell_angle_alpha 110.45
_cell_angle_beta 90.00
_cell_angle_gamma 90.00
_space_group_name_H-M_alt 'P 1'
_space_group_IT_number 1
loop_
_space_group_symop_operation_xyz
'x,y,z'
loop_
_atom_site_label
_atom_site_type_symbol
_atom_site_fract_x
_atom_site_fract_y
_atom_site_fract_z
_atom_site_occupancy
Dy1 Dy 0.250 0.790 0.085 1
Dy2 Dy 0.750 0.210 0.915 1
Dy3 Dy 0.250 0.782 0.561 1
Dy4 Dy 0.750 0.218 0.439 1
Si1 Si 0.750 0.656 0.790 1
Si2 Si 0.250 0.344 0.210 1
Cu1 Cu 0.250 0.383 0.722 1
Cu2 Cu 0.750 0.617 0.278 1
```

formation energy without anion corrections = -0.528 eV per atom
density = 7.86 g cm⁻³
total moment = 0.0004 μB per atom
volume = 21.998 Å³/atom

=====

No. 8
A relaxed structure of SrPtW2, computed with PBE.

Cell and atoms, written as CIF:
```
data_SrPtW2
_cell_length_a 5.720
_cell_length_b 5.720
_cell_length_c 2.759
_cell_angle_alpha 90.00
_cell_angle_beta 90.00
_cell_angle_gamma 122.56
_space_group_name_H-M_alt 'P 1'
_space_group_IT_number 1
loop_
_space_group_symop_operation_xyz
'x,y,z'
loop_
_atom_site_label
_atom_site_type_symbol
_atom_site_fract_x
_atom_site_fract_y
_atom_site_fract_z
_atom_site_occupancy
W1 W 0.500 0.500 0.000 1
W2 W 0.000 0.000 0.000 1
Sr1 Sr 0.000 0.500 0.500 1
Pt1 Pt 0.500 0.000 0.500 1
```

E_form = 0.878 eV/atom
density = 14.19 g cm⁻³
total moment = 0.0000 μB per atom
volume = 19.023 Å³/atom
excess energy over the best structure of this formula in the dataset = 551 meV per atom

=====

No. 9
A relaxed structure of AlHgAs, computed with PBE.

Cell and atoms, written as CIF:
```
data_AlHgAs
_cell_length_a 6.588
_cell_length_b 6.588
_cell_length_c 6.588
_cell_angle_alpha 151.79
_cell_angle_beta 151.79
_cell_angle_gamma 40.32
_space_group_name_H-M_alt 'P 1'
_space_group_IT_number 1
loop_
_space_group_symop_operation_xyz
'x,y,z'
loop_
_atom_site_label
_atom_site_type_symbol
_atom_site_fract_x
_atom_site_fract_y
_atom_site_fract_z
_atom_site_occupancy
Al1 Al 0.016 0.016 0.000 1
As1 As 0.637 0.637 0.000 1
Hg1 Hg 0.347 0.347 0.000 1
```

E_form = 0.181 eV/atom
density = 7.88 g cm⁻³
total moment = 0.0000 μB per atom
volume = 21.256 Å³/atom
excess energy over the best structure of this formula in the dataset = 234 meV per atom

=====

No. 10
A relaxed structure of LiCa2W, computed with PBE.

Cell and atoms, written as CIF:
```
data_LiCa2W
_cell_length_a 6.003
_cell_length_b 6.003
_cell_length_c 5.695
_cell_angle_alpha 74.28
_cell_angle_beta 74.28
_cell_angle_gamma 28.63
_space_group_name_H-M_alt 'P 1'
_space_group_IT_number 1
loop_
_space_group_symop_operation_xyz
'x,y,z'
loop_
_atom_site_label
_atom_site_type_symbol
_atom_site_fract_x
_atom_site_fract_y
_atom_site_fract_z
_atom_site_occupancy
Li1 Li 0.537 0.537 0.525 1
Ca1 Ca 0.973 0.973 0.079 1
Ca2 Ca 0.768 0.768 0.685 1
W1 W 0.222 0.222 0.211 1
```

E_form = 0.725 eV/atom
density = 4.77 g cm⁻³
total moment = 0.0002 μB per atom
volume = 23.600 Å³/atom
excess energy over the best structure of this formula in the dataset = 71 meV per atom

=====

no.,raw total energy (eV/atom)
1,-6.50
2,-8.31
3,-1.62
4,-3.77
5,-6.59
6,-5.37
7,-5.21
8,-7.53
9,-2.72
10,-3.99